# PBE HgI2, relaxed
# SG = I-43m, No. 217
data_HgI2
_symmetry_space_group_name_H-M 'P 1'
_symmetry_Int_Tables_number 1
_symmetry_space_group_name_Hall 'P 1'
_cell_length_a 11.003
_cell_length_b 11.003
_cell_length_c 11.003
_cell_angle_alpha 109.47
_cell_angle_beta 109.47
_cell_angle_gamma 109.47
loop_
_atom_site_label
_atom_site_type_symbol
_atom_site_fract_x
_atom_site_fract_y
_atom_site_fract_z
Hg1 Hg 0.750 0.500 0.250
Hg2 Hg 0.500 0.750 0.250
Hg3 Hg 0.750 0.250 0.500
Hg4 Hg 0.250 0.750 0.500
Hg5 Hg 0.500 0.250 0.750
Hg6 Hg 0.250 0.500 0.750
I1 I 0.767 0.511 0.000
I2 I 0.511 0.767 0.000
I3 I 0.233 0.744 0.233
I4 I 0.744 0.233 0.233
I5 I 0.489 0.489 0.256
I6 I 0.489 0.256 0.489
I7 I 0.256 0.489 0.489
I8 I 0.767 0.000 0.511
I9 I 0.000 0.767 0.511
I10 I 0.233 0.233 0.744
I11 I 0.511 0.000 0.767
I12 I 0.000 0.511 0.767

# PBE PmHgAs, relaxed
# SG = F-43m, No. 216
data_PmHgAs
_symmetry_space_group_name_H-M 'P 1'
_symmetry_Int_Tables_number 1
_symmetry_space_group_name_Hall 'P 1'
_cell_length_a 4.901
_cell_length_b 4.901
_cell_length_c 4.901
_cell_angle_alpha 60.00
_cell_angle_beta 60.00
_cell_angle_gamma 60.00
loop_
_atom_site_label
_atom_site_type_symbol
_atom_site_fract_x
_atom_site_fract_y
_atom_site_fract_z
As1 As 0.000 0.000 0.000
Hg1 Hg 0.250 0.250 0.250
Pm1 Pm 0.750 0.750 0.750

# PBE LiSiNi2, relaxed
# SG = Fm-3m, No. 225
data_LiSiNi2
_symmetry_space_group_name_H-M 'P 1'
_symmetry_Int_Tables_number 1
_symmetry_space_group_name_Hall 'P 1'
_cell_length_a 3.908
_cell_length_b 5.527
_cell_length_c 11.718
_cell_angle_alpha 90.00
_cell_angle_beta 90.00
_cell_angle_gamma 90.00
loop_
_atom_site_label
_atom_site_type_symbol
_atom_site_fract_x
_atom_site_fract_y
_atom_site_fract_z
Li1 Li 0.000 0.000 0.000
Li2 Li 0.500 0.500 0.167
Li3 Li 0.000 0.000 0.333
Li4 Li 0.500 0.500 0.500
Li5 Li 0.000 0.000 0.667
Li6 Li 0.500 0.500 0.833
Ni1 Ni 0.500 0.250 0.000
Ni2 Ni 0.500 0.750 0.000
Ni3 Ni 0.000 0.250 0.167
Ni4 Ni 0.000 0.750 0.167
Ni5 Ni 0.500 0.250 0.333
Ni6 Ni 0.500 0.750 0.333
Ni7 Ni 0.000 0.250 0.500
Ni8 Ni 0.000 0.750 0.500
Ni9 Ni 0.500 0.250 0.667
Ni10 Ni 0.500 0.750 0.667
Ni11 Ni 0.000 0.250 0.833
Ni12 Ni 0.000 0.750 0.833
Si1 Si 0.000 0.500 0.000
Si2 Si 0.500 0.000 0.167
Si3 Si 0.000 0.500 0.333
Si4 Si 0.500 0.000 0.500
Si5 Si 0.000 0.500 0.667
Si6 Si 0.500 0.000 0.833

# PBE Y2Lu4P3C3, relaxed
# SG = C2/c, No. 15
data_Y2Lu4P3C3
_symmetry_space_group_name_H-M 'P 1'
_symmetry_Int_Tables_number 1
_symmetry_space_group_name_Hall 'P 1'
_cell_length_a 6.233
_cell_length_b 6.233
_cell_length_c 13.689
_cell_angle_alpha 103.14
_cell_angle_beta 103.14
_cell_angle_gamma 60.00
loop_
_atom_site_label
_atom_site_type_symbol
_atom_site_fract_x
_atom_site_fract_y
_atom_site_fract_z
C1 C 0.670 0.161 0.000
C2 C 0.000 0.500 0.000
C3 C 0.330 0.839 0.000
C4 C 0.161 0.670 0.500
C5 C 0.500 0.000 0.500
C6 C 0.839 0.330 0.500
Lu1 Lu 0.700 0.866 0.100
Lu2 Lu 0.033 0.201 0.100
Lu3 Lu 0.799 0.967 0.400
Lu4 Lu 0.134 0.300 0.400
Lu5 Lu 0.866 0.700 0.600
Lu6 Lu 0.201 0.033 0.600
Lu7 Lu 0.967 0.799 0.900
Lu8 Lu 0.300 0.134 0.900
P1 P 0.766 0.583 0.250
P2 P 0.066 0.934 0.250
P3 P 0.417 0.234 0.250
P4 P 0.583 0.766 0.750
P5 P 0.934 0.066 0.750
P6 P 0.234 0.417 0.750
Y1 Y 0.369 0.535 0.106
Y2 Y 0.465 0.631 0.394
Y3 Y 0.535 0.369 0.606
Y4 Y 0.631 0.465 0.894

# PBE Y4TlZnN2, relaxed
# SG = P-6m2, No. 187
data_Y4TlZnN2
_symmetry_space_group_name_H-M 'P 1'
_symmetry_Int_Tables_number 1
_symmetry_space_group_name_Hall 'P 1'
_cell_length_a 3.532
_cell_length_b 3.532
_cell_length_c 15.226
_cell_angle_alpha 90.00
_cell_angle_beta 90.00
_cell_angle_gamma 120.00
loop_
_atom_site_label
_atom_site_type_symbol
_atom_site_fract_x
_atom_site_fract_y
_atom_site_fract_z
N1 N 0.333 0.667 0.256
N2 N 0.333 0.667 0.744
Tl1 Tl 0.000 0.000 0.000
Y1 Y 0.667 0.333 0.173
Y2 Y 0.000 0.000 0.350
Y3 Y 0.000 0.000 0.650
Y4 Y 0.667 0.333 0.827
Zn1 Zn 0.667 0.333 0.500

# PBE SmFeSi2Ir, relaxed
# SG = I-4m2, No. 119
data_SmFeSi2Ir
_symmetry_space_group_name_H-M 'P 1'
_symmetry_Int_Tables_number 1
_symmetry_space_group_name_Hall 'P 1'
_cell_length_a 5.702
_cell_length_b 5.702
_cell_length_c 5.702
_cell_angle_alpha 138.32
_cell_angle_beta 138.32
_cell_angle_gamma 60.42
loop_
_atom_site_label
_atom_site_type_symbol
_atom_site_fract_x
_atom_site_fract_y
_atom_site_fract_z
Fe1 Fe 0.500 0.500 0.000
Ir1 Ir 0.000 0.000 0.000
Si1 Si 0.621 0.121 0.500
Si2 Si 0.879 0.379 0.500
Sm1 Sm 0.250 0.750 0.500

# PBE YMgZn2, relaxed
# SG = P6_3/mmc, No. 194
data_YMgZn2
_symmetry_space_group_name_H-M 'P 1'
_symmetry_Int_Tables_number 1
_symmetry_space_group_name_Hall 'P 1'
_cell_length_a 4.845
_cell_length_b 4.845
_cell_length_c 8.143
_cell_angle_alpha 90.00
_cell_angle_beta 90.00
_cell_angle_gamma 120.00
loop_
_atom_site_label
_atom_site_type_symbol
_atom_site_fract_x
_atom_site_fract_y
_atom_site_fract_z
Mg1 Mg 0.333 0.667 0.250
Mg2 Mg 0.667 0.333 0.750
Y1 Y 0.000 0.000 0.000
Y2 Y 0.000 0.000 0.500
Zn1 Zn 0.667 0.333 0.103
Zn2 Zn 0.667 0.333 0.397
Zn3 Zn 0.333 0.667 0.603
Zn4 Zn 0.333 0.667 0.897

# PBE GdAgGeS3, relaxed
# SG = Cmcm, No. 63
data_GdAgGeS3
_symmetry_space_group_name_H-M 'P 1'
_symmetry_Int_Tables_number 1
_symmetry_space_group_name_Hall 'P 1'
_cell_length_a 6.583
_cell_length_b 6.583
_cell_length_c 10.582
_cell_angle_alpha 90.00
_cell_angle_beta 90.00
_cell_angle_gamma 34.37
loop_
_atom_site_label
_atom_site_type_symbol
_atom_site_fract_x
_atom_site_fract_y
_atom_site_fract_z
Ag1 Ag 0.473 0.473 0.250
Ag2 Ag 0.527 0.527 0.750
Gd1 Gd 0.000 0.000 0.000
Gd2 Gd 0.000 0.000 0.500
Ge1 Ge 0.759 0.759 0.250
Ge2 Ge 0.241 0.241 0.750
S1 S 0.354 0.354 0.065
S2 S 0.108 0.108 0.250
S3 S 0.354 0.354 0.435
S4 S 0.646 0.646 0.565
S5 S 0.892 0.892 0.750
S6 S 0.646 0.646 0.935

# PBE ZrScPBr2, relaxed
# SG = P3m1, No. 156
data_ZrScPBr2
_symmetry_space_group_name_H-M 'P 1'
_symmetry_Int_Tables_number 1
_symmetry_space_group_name_Hall 'P 1'
_cell_length_a 3.780
_cell_length_b 3.780
_cell_length_c 10.044
_cell_angle_alpha 90.00
_cell_angle_beta 90.00
_cell_angle_gamma 120.00
loop_
_atom_site_label
_atom_site_type_symbol
_atom_site_fract_x
_atom_site_fract_y
_atom_site_fract_z
Br1 Br 0.667 0.333 0.318
Br2 Br 0.333 0.667 0.687
P1 P 0.000 0.000 0.997
Sc1 Sc 0.667 0.333 0.862
Zr1 Zr 0.333 0.667 0.135

# PBE GdPSe2S2, relaxed
# SG = P-1, No. 2
# distance to the lowest polymorph of the same formula = 0.0 meV per atom
data_GdPSe2S2
_symmetry_space_group_name_H-M 'P 1'
_symmetry_Int_Tables_number 1
_symmetry_space_group_name_Hall 'P 1'
_cell_length_a 6.578
_cell_length_b 6.785
_cell_length_c 7.712
_cell_angle_alpha 88.39
_cell_angle_beta 86.96
_cell_angle_gamma 84.85
loop_
_atom_site_label
_atom_site_type_symbol
_atom_site_fract_x
_atom_site_fract_y
_atom_site_fract_z
Gd1 Gd 0.203 0.713 0.058
Gd2 Gd 0.797 0.287 0.942
P1 P 0.694 0.742 0.189
P2 P 0.306 0.258 0.811
S1 S 0.899 0.499 0.235
S2 S 0.436 0.751 0.341
S3 S 0.564 0.249 0.659
S4 S 0.101 0.501 0.765
Se1 Se 0.373 0.269 0.093
Se2 Se 0.885 0.992 0.233
Se3 Se 0.115 0.008 0.767
Se4 Se 0.627 0.731 0.907

# PBE Cu2Ag3, relaxed
# SG = Amm2, No. 38
# distance to the lowest polymorph of the same formula = 46.3 meV per atom
# ΔH_f (0 K) = 0.079 eV/atom
data_Cu2Ag3
_symmetry_space_group_name_H-M 'P 1'
_symmetry_Int_Tables_number 1
_symmetry_space_group_name_Hall 'P 1'
_cell_length_a 4.014
_cell_length_b 9.961
_cell_length_c 9.961
_cell_angle_alpha 23.00
_cell_angle_beta 90.00
_cell_angle_gamma 90.00
loop_
_atom_site_label
_atom_site_type_symbol
_atom_site_fract_x
_atom_site_fract_y
_atom_site_fract_z
Ag1 Ag 0.500 0.298 0.298
Ag2 Ag 0.000 0.410 0.410
Ag3 Ag 0.000 0.595 0.595
Ag4 Ag 0.500 0.693 0.693
Ag5 Ag 0.000 0.797 0.797
Ag6 Ag 0.500 0.910 0.910
Cu1 Cu 0.000 0.006 0.006
Cu2 Cu 0.500 0.093 0.093
Cu3 Cu 0.000 0.192 0.192
Cu4 Cu 0.500 0.506 0.506

# PBE TbNdAl4Ni2, relaxed
# SG = Amm2, No. 38
data_TbNdAl4Ni2
_symmetry_space_group_name_H-M 'P 1'
_symmetry_Int_Tables_number 1
_symmetry_space_group_name_Hall 'P 1'
_cell_length_a 6.912
_cell_length_b 5.637
_cell_length_c 5.637
_cell_angle_alpha 42.24
_cell_angle_beta 90.00
_cell_angle_gamma 90.00
loop_
_atom_site_label
_atom_site_type_symbol
_atom_site_fract_x
_atom_site_fract_y
_atom_site_fract_z
Al1 Al 0.308 0.164 0.164
Al2 Al 0.692 0.164 0.164
Al3 Al 0.196 0.837 0.837
Al4 Al 0.804 0.837 0.837
Nd1 Nd 0.000 0.557 0.557
Ni1 Ni 0.000 0.282 0.282
Ni2 Ni 0.500 0.716 0.716
Tb1 Tb 0.500 0.442 0.442

# PBE NaTh2F9, relaxed
# SG = I-42m, No. 121
data_NaTh2F9
_symmetry_space_group_name_H-M 'P 1'
_symmetry_Int_Tables_number 1
_symmetry_space_group_name_Hall 'P 1'
_cell_length_a 7.449
_cell_length_b 7.449
_cell_length_c 7.449
_cell_angle_alpha 108.99
_cell_angle_beta 110.43
_cell_angle_gamma 108.99
loop_
_atom_site_label
_atom_site_type_symbol
_atom_site_fract_x
_atom_site_fract_y
_atom_site_fract_z
F1 F 0.238 0.238 0.000
F2 F 0.762 0.762 0.000
F3 F 0.651 0.261 0.000
F4 F 0.229 0.000 0.229
F5 F 0.000 0.238 0.238
F6 F 0.666 0.000 0.253
F7 F 0.000 0.651 0.261
F8 F 0.334 0.587 0.334
F9 F 0.610 0.349 0.349
F10 F 0.739 0.739 0.390
F11 F 0.349 0.349 0.610
F12 F 0.000 0.261 0.651
F13 F 0.253 0.000 0.666
F14 F 0.390 0.739 0.739
F15 F 0.747 0.413 0.747
F16 F 0.000 0.762 0.762
F17 F 0.771 0.000 0.771
F18 F 0.261 0.651 0.000
Na1 Na 0.500 0.500 0.000
Na2 Na 0.000 0.500 0.500
Th1 Th 0.383 0.000 0.010
Th2 Th 0.010 0.000 0.383
Th3 Th 0.617 0.627 0.617
Th4 Th 0.990 0.373 0.990

# PBE InMo4PC2, relaxed
# SG = P-6m2, No. 187
data_InMo4PC2
_symmetry_space_group_name_H-M 'P 1'
_symmetry_Int_Tables_number 1
_symmetry_space_group_name_Hall 'P 1'
_cell_length_a 3.194
_cell_length_b 3.194
_cell_length_c 12.598
_cell_angle_alpha 90.00
_cell_angle_beta 90.00
_cell_angle_gamma 120.00
loop_
_atom_site_label
_atom_site_type_symbol
_atom_site_fract_x
_atom_site_fract_y
_atom_site_fract_z
C1 C 0.667 0.333 0.233
C2 C 0.667 0.333 0.767
In1 In 0.000 0.000 0.500
Mo1 Mo 0.000 0.000 0.135
Mo2 Mo 0.333 0.667 0.310
Mo3 Mo 0.333 0.667 0.690
Mo4 Mo 0.000 0.000 0.865
P1 P 0.333 0.667 0.000

# PBE UNbAs, relaxed
# SG = F-43m, No. 216
data_UNbAs
_symmetry_space_group_name_H-M 'P 1'
_symmetry_Int_Tables_number 1
_symmetry_space_group_name_Hall 'P 1'
_cell_length_a 4.596
_cell_length_b 4.596
_cell_length_c 4.596
_cell_angle_alpha 60.00
_cell_angle_beta 60.00
_cell_angle_gamma 60.00
loop_
_atom_site_label
_atom_site_type_symbol
_atom_site_fract_x
_atom_site_fract_y
_atom_site_fract_z
As1 As 0.250 0.250 0.250
Nb1 Nb 0.750 0.750 0.750
U1 U 0.000 0.000 0.000

# PBE TcHgB4, relaxed
# SG = P6/mmm, No. 191
# distance to the lowest polymorph of the same formula = 0.0 meV per atom
data_TcHgB4
_symmetry_space_group_name_H-M 'P 1'
_symmetry_Int_Tables_number 1
_symmetry_space_group_name_Hall 'P 1'
_cell_length_a 2.945
_cell_length_b 2.945
_cell_length_c 9.561
_cell_angle_alpha 90.00
_cell_angle_beta 90.00
_cell_angle_gamma 120.00
loop_
_atom_site_label
_atom_site_type_symbol
_atom_site_fract_x
_atom_site_fract_y
_atom_site_fract_z
B1 B 0.667 0.333 0.176
B2 B 0.333 0.667 0.176
B3 B 0.667 0.333 0.824
B4 B 0.333 0.667 0.824
Hg1 Hg 0.000 0.000 0.500
Tc1 Tc 0.000 0.000 0.000

# PBE Tb3Al3GePd2, relaxed
# SG = P-62m, No. 189
# distance to the lowest polymorph of the same formula = 0.0 meV per atom
data_Tb3Al3GePd2
_symmetry_space_group_name_H-M 'P 1'
_symmetry_Int_Tables_number 1
_symmetry_space_group_name_Hall 'P 1'
_cell_length_a 7.464
_cell_length_b 7.464
_cell_length_c 3.846
_cell_angle_alpha 90.00
_cell_angle_beta 90.00
_cell_angle_gamma 120.00
loop_
_atom_site_label
_atom_site_type_symbol
_atom_site_fract_x
_atom_site_fract_y
_atom_site_fract_z
Al1 Al 0.739 0.000 0.500
Al2 Al 0.261 0.261 0.500
Al3 Al 0.000 0.739 0.500
Ge1 Ge 0.000 0.000 0.000
Pd1 Pd 0.667 0.333 0.500
Pd2 Pd 0.333 0.667 0.500
Tb1 Tb 0.399 0.000 0.000
Tb2 Tb 0.000 0.399 0.000
Tb3 Tb 0.601 0.601 0.000

# PBE TaTlGeS5, relaxed
# SG = P-1, No. 2
data_TaTlGeS5
_symmetry_space_group_name_H-M 'P 1'
_symmetry_Int_Tables_number 1
_symmetry_space_group_name_Hall 'P 1'
_cell_length_a 6.993
_cell_length_b 6.996
_cell_length_c 9.013
_cell_angle_alpha 78.68
_cell_angle_beta 70.94
_cell_angle_gamma 75.20
loop_
_atom_site_label
_atom_site_type_symbol
_atom_site_fract_x
_atom_site_fract_y
_atom_site_fract_z
Ge1 Ge 0.710 0.978 0.378
Ge2 Ge 0.290 0.022 0.622
S1 S 0.747 0.071 0.003
S2 S 0.241 0.438 0.027
S3 S 0.884 0.689 0.292
S4 S 0.881 0.222 0.298
S5 S 0.385 0.067 0.352
S6 S 0.615 0.933 0.648
S7 S 0.119 0.778 0.702
S8 S 0.116 0.311 0.708
S9 S 0.759 0.562 0.973
S10 S 0.253 0.929 0.997
Ta1 Ta 0.028 0.239 0.006
Ta2 Ta 0.972 0.761 0.994
Tl1 Tl 0.362 0.592 0.299
Tl2 Tl 0.638 0.408 0.701

# PBE TmLuReSi2, relaxed
# SG = C2/m, No. 12
# distance to the lowest polymorph of the same formula = 0.0 meV per atom
data_TmLuReSi2
_symmetry_space_group_name_H-M 'P 1'
_symmetry_Int_Tables_number 1
_symmetry_space_group_name_Hall 'P 1'
_cell_length_a 5.733
_cell_length_b 5.733
_cell_length_c 9.871
_cell_angle_alpha 116.10
_cell_angle_beta 116.10
_cell_angle_gamma 42.27
loop_
_atom_site_label
_atom_site_type_symbol
_atom_site_fract_x
_atom_site_fract_y
_atom_site_fract_z
Lu1 Lu 0.009 0.009 0.179
Lu2 Lu 0.991 0.991 0.821
Re1 Re 0.272 0.272 0.131
Re2 Re 0.728 0.728 0.869
Si1 Si 0.635 0.635 0.058
Si2 Si 0.504 0.504 0.378
Si3 Si 0.496 0.496 0.622
Si4 Si 0.365 0.365 0.942
Tm1 Tm 0.813 0.813 0.388
Tm2 Tm 0.187 0.187 0.612

# PBE GdScBC2, relaxed
# SG = I4mm, No. 107
data_GdScBC2
_symmetry_space_group_name_H-M 'P 1'
_symmetry_Int_Tables_number 1
_symmetry_space_group_name_Hall 'P 1'
_cell_length_a 5.969
_cell_length_b 5.969
_cell_length_c 5.969
_cell_angle_alpha 145.51
_cell_angle_beta 145.51
_cell_angle_gamma 49.57
loop_
_atom_site_label
_atom_site_type_symbol
_atom_site_fract_x
_atom_site_fract_y
_atom_site_fract_z
B1 B 0.997 0.997 0.000
C1 C 0.134 0.134 0.000
C2 C 0.860 0.860 0.000
Gd1 Gd 0.355 0.355 0.000
Sc1 Sc 0.655 0.655 0.000

# PBE Zn4B6SO12, relaxed
# SG = I-43m, No. 217
data_Zn4B6SO12
_symmetry_space_group_name_H-M 'P 1'
_symmetry_Int_Tables_number 1
_symmetry_space_group_name_Hall 'P 1'
_cell_length_a 6.610
_cell_length_b 6.610
_cell_length_c 6.610
_cell_angle_alpha 109.47
_cell_angle_beta 109.47
_cell_angle_gamma 109.47
loop_
_atom_site_label
_atom_site_type_symbol
_atom_site_fract_x
_atom_site_fract_y
_atom_site_fract_z
B1 B 0.750 0.500 0.250
B2 B 0.500 0.750 0.250
B3 B 0.750 0.250 0.500
B4 B 0.250 0.750 0.500
B5 B 0.500 0.250 0.750
B6 B 0.250 0.500 0.750
O1 O 0.568 0.282 0.000
O2 O 0.282 0.568 0.000
O3 O 0.568 0.000 0.282
O4 O 0.000 0.568 0.282
O5 O 0.718 0.718 0.286
O6 O 0.714 0.432 0.432
O7 O 0.432 0.714 0.432
O8 O 0.282 0.000 0.568
O9 O 0.000 0.282 0.568
O10 O 0.432 0.432 0.714
O11 O 0.718 0.286 0.718
O12 O 0.286 0.718 0.718
S1 S 0.000 0.000 0.000
Zn1 Zn 0.339 0.000 0.000
Zn2 Zn 0.000 0.339 0.000
Zn3 Zn 0.000 0.000 0.339
Zn4 Zn 0.661 0.661 0.661

Total energy for the records above, in order: -0.052; -0.137; -0.188; -0.257; -0.247; -0.273; -0.105; -0.179; -0.229; -0.190; -0.114; -0.185; -0.245; -0.325; -0.291; -0.221; -0.191; -0.204; -0.262; -0.281; -0.250 Ha/atom